## ZnCd2W (PBE)

Data for a geometry-optimized ZnCd2W structure.

ΔH_f (0 K)   342 meV per atom
Electronic total energy   -3.672 eV/atom
Magnetization   0.00 μB per formula unit

a b c (Å): 2.8318 2.8318 9.0535
angles (deg): 90.00 90.00 90.00
Closest atoms and distances in Å follow each position.
Atoms (fractional coordinates):
Zn (0.0000, 0.0000, 0.0000)  4 W 2.79, 4 Zn 2.83, 4 Cd 3.02
Cd (0.0000, 0.0000, 0.5344)  4 Cd 2.83, 4 W 3.03
Cd (0.5000, 0.5000, 0.2501)  4 Cd 2.83, 4 Zn 3.02
W (0.5000, 0.5000, 0.7851)  4 Zn 2.79, 4 W 2.83, 4 Cd 3.03